# PrHo4Ni4 (GGA-PBE, relaxed)
# - theoretical density (kg/m3) = 8260
# - Fermi-level density of states (states/eV/f.u.) = 8.1
# - DFT formation energy (meV/atom) = -256
# - crystal system = tetragonal
data_PrHo4Ni4
_symmetry_space_group_name_H-M 'P 1'
_symmetry_Int_Tables_number 1
_cell_length_a 5.551
_cell_length_b 8.661
_cell_length_c 8.661
_cell_angle_alpha 90.00
_cell_angle_beta 90.00
_cell_angle_gamma 90.00
loop_
_symmetry_equiv_pos_as_xyz
'x,y,z'
loop_
_atom_site_label
_atom_site_type_symbol
_atom_site_fract_x
_atom_site_fract_y
_atom_site_fract_z
Pr1 Pr 0.000 0.000 0.000
Pr2 Pr 0.500 0.500 0.500
Ho1 Ho 0.404 0.325 0.908
Ho2 Ho 0.904 0.592 0.825
Ho3 Ho 0.404 0.675 0.092
Ho4 Ho 0.096 0.175 0.592
Ho5 Ho 0.596 0.908 0.675
Ho6 Ho 0.096 0.825 0.408
Ho7 Ho 0.904 0.408 0.175
Ho8 Ho 0.596 0.092 0.325
Ni1 Ni 0.607 0.784 0.362
Ni2 Ni 0.607 0.216 0.638
Ni3 Ni 0.107 0.862 0.716
Ni4 Ni 0.893 0.284 0.862
Ni5 Ni 0.893 0.716 0.138
Ni6 Ni 0.393 0.362 0.216
Ni7 Ni 0.393 0.638 0.784
Ni8 Ni 0.107 0.138 0.284